1.
{
  "formula": "InSbF2",
  "functional": "PBE",
  "state": "relaxed",
  "lattice_angstrom": [[3.356, 0.000, 0.000], [-1.678, 2.907, 0.000], [0.000, 0.000, 25.137]],
  "species": ["In", "In", "In", "Sb", "Sb", "Sb", "F", "F", "F", "F", "F", "F"],
  "frac_coords": [[0.000, 0.000, 0.000], [0.333, 0.667, 0.667], [0.667, 0.333, 0.333], [0.000, 0.000, 0.500], [0.333, 0.667, 0.167], [0.667, 0.333, 0.833], [0.000, 0.000, 0.414], [0.000, 0.000, 0.586], [0.333, 0.667, 0.080], [0.333, 0.667, 0.253], [0.667, 0.333, 0.747], [0.667, 0.333, 0.920]],
  "formation_energy_uncorrected_ev_per_atom": -1.44,
  "relative_energy_mev_per_atom": 0,
  "magmom_total_mub_per_fu": 0.00,
  "volume_a3_per_atom": 20.43
}

***

2.
{
  "formula": "SnH6CI3N3",
  "functional": "PBE",
  "state": "relaxed",
  "lattice_angstrom": [[9.532, 0.000, 0.000], [0.000, 8.017, 0.000], [-9.529, 0.000, 16.411]],
  "species": ["Sn", "Sn", "Sn", "Sn", "H", "H", "H", "H", "H", "H", "H", "H", "H", "H", "H", "H", "H", "H", "H", "H", "H", "H", "H", "H", "H", "H", "H", "H", "C", "C", "C", "C", "I", "I", "I", "I", "I", "I", "I", "I", "I", "I", "I", "I", "N", "N", "N", "N", "N", "N", "N", "N", "N", "N", "N", "N"],
  "frac_coords": [[0.000, 0.038, 0.249], [0.000, 0.462, 0.749], [0.000, 0.538, 0.251], [0.000, 0.962, 0.751], [0.086, 0.247, 0.026], [0.086, 0.253, 0.526], [0.169, 0.231, 0.962], [0.169, 0.269, 0.462], [0.255, 0.214, 0.666], [0.255, 0.286, 0.166], [0.423, 0.717, 0.878], [0.423, 0.783, 0.378], [0.449, 0.247, 0.518], [0.449, 0.253, 0.018], [0.465, 0.198, 0.707], [0.465, 0.302, 0.207], [0.535, 0.698, 0.793], [0.535, 0.802, 0.293], [0.551, 0.747, 0.982], [0.551, 0.753, 0.482], [0.577, 0.217, 0.622], [0.577, 0.283, 0.122], [0.745, 0.714, 0.834], [0.745, 0.786, 0.334], [0.831, 0.731, 0.538], [0.831, 0.769, 0.038], [0.914, 0.747, 0.474], [0.914, 0.753, 0.974], [0.333, 0.232, 0.584], [0.333, 0.268, 0.084], [0.667, 0.732, 0.916], [0.667, 0.768, 0.416], [0.105, 0.718, 0.901], [0.105, 0.782, 0.401], [0.196, 0.704, 0.697], [0.196, 0.796, 0.197], [0.301, 0.214, 0.849], [0.301, 0.286, 0.349], [0.699, 0.714, 0.651], [0.699, 0.786, 0.151], [0.804, 0.204, 0.803], [0.804, 0.296, 0.303], [0.895, 0.218, 0.599], [0.895, 0.282, 0.099], [0.185, 0.244, 0.019], [0.185, 0.256, 0.519], [0.352, 0.210, 0.658], [0.352, 0.290, 0.158], [0.463, 0.230, 0.574], [0.463, 0.270, 0.074], [0.537, 0.730, 0.926], [0.537, 0.770, 0.426], [0.648, 0.710, 0.842], [0.648, 0.790, 0.342], [0.815, 0.744, 0.481], [0.815, 0.756, 0.981]],
  "total_energy_ev_per_atom": -4.90,
  "magmom_total_mub_per_fu": 0.00,
  "volume_a3_per_atom": 22.40
}

***

3.
{
  "formula": "Zn2Cd2Ni",
  "functional": "PBE",
  "state": "relaxed",
  "lattice_angstrom": [[7.087, 0.000, 0.000], [0.000, 7.087, 0.000], [0.000, 0.000, 3.622]],
  "species": ["Zn", "Zn", "Zn", "Zn", "Cd", "Cd", "Cd", "Cd", "Ni", "Ni"],
  "frac_coords": [[0.146, 0.354, 0.000], [0.354, 0.854, 0.000], [0.646, 0.146, 0.000], [0.854, 0.646, 0.000], [0.157, 0.657, 0.500], [0.343, 0.157, 0.500], [0.657, 0.843, 0.500], [0.843, 0.343, 0.500], [0.000, 0.000, 0.500], [0.500, 0.500, 0.500]],
  "relative_energy_mev_per_atom": 198,
  "e_form_ev_per_atom": 0.33,
  "magmom_total_mub_per_fu": 0.00,
  "volume_a3_per_atom": 18.19
}

***

4.
{
  "formula": "PRhO2",
  "functional": "PBE",
  "state": "relaxed",
  "lattice_angstrom": [[4.768, 0.000, 0.000], [0.000, 4.768, 0.000], [0.000, 0.000, 9.137]],
  "species": ["P", "P", "P", "P", "Rh", "Rh", "Rh", "Rh", "O", "O", "O", "O", "O", "O", "O", "O"],
  "frac_coords": [[0.000, 0.000, 0.000], [0.000, 0.500, 0.250], [0.500, 0.000, 0.750], [0.500, 0.500, 0.500], [0.000, 0.000, 0.500], [0.000, 0.500, 0.750], [0.500, 0.000, 0.250], [0.500, 0.500, 0.000], [0.151, 0.250, 0.125], [0.250, 0.651, 0.375], [0.250, 0.849, 0.875], [0.349, 0.250, 0.625], [0.651, 0.750, 0.625], [0.750, 0.151, 0.875], [0.750, 0.349, 0.375], [0.849, 0.750, 0.125]],
  "formation_energy_uncorrected_ev_per_atom": 0.00,
  "magmom_total_mub_per_fu": 1.25,
  "volume_a3_per_atom": 12.98
}

***

5.
{
  "formula": "KMg2Ga9",
  "functional": "PBE",
  "state": "relaxed",
  "lattice_angstrom": [[2.758, 1.592, 9.491], [-2.758, 1.592, 9.491], [0.000, -3.184, 9.491]],
  "species": ["K", "Mg", "Mg", "Ga", "Ga", "Ga", "Ga", "Ga", "Ga", "Ga", "Ga", "Ga"],
  "frac_coords": [[0.000, 0.000, 0.000], [0.142, 0.142, 0.142], [0.858, 0.858, 0.858], [0.082, 0.591, 0.591], [0.338, 0.338, 0.338], [0.409, 0.409, 0.918], [0.409, 0.918, 0.409], [0.500, 0.500, 0.500], [0.591, 0.082, 0.591], [0.591, 0.591, 0.082], [0.662, 0.662, 0.662], [0.918, 0.409, 0.409]],
  "e_form_ev_per_atom": -0.04,
  "magmom_total_mub_per_fu": 0.00,
  "volume_a3_per_atom": 20.83
}

***

6.
{
  "formula": "TePdPb2O",
  "functional": "PBE",
  "state": "relaxed",
  "lattice_angstrom": [[6.037, 0.000, 0.000], [0.000, 6.037, 0.000], [0.000, 0.000, 4.858]],
  "species": ["Te", "Pd", "Pb", "Pb", "O"],
  "frac_coords": [[0.000, 0.000, 0.000], [0.000, 0.000, 0.500], [0.000, 0.500, 0.000], [0.500, 0.000, 0.000], [0.500, 0.500, 0.500]],
  "formation_energy_uncorrected_ev_per_atom": 0.66,
  "magmom_total_mub_per_fu": 0.00,
  "volume_a3_per_atom": 35.41
}

***

7.
{
  "formula": "CdCuF5",
  "functional": "PBE",
  "state": "relaxed",
  "lattice_angstrom": [[3.821, 0.000, 0.000], [0.000, 6.542, 0.000], [0.000, 0.000, 8.072]],
  "species": ["Cd", "Cd", "Cu", "Cu", "F", "F", "F", "F", "F", "F", "F", "F", "F", "F"],
  "frac_coords": [[0.000, 0.000, 0.000], [0.500, 0.500, 0.500], [0.000, 0.000, 0.500], [0.500, 0.500, 0.000], [0.000, 0.000, 0.268], [0.000, 0.000, 0.732], [0.000, 0.298, 0.500], [0.000, 0.500, 0.000], [0.000, 0.702, 0.500], [0.500, 0.000, 0.500], [0.500, 0.202, 0.000], [0.500, 0.500, 0.232], [0.500, 0.500, 0.768], [0.500, 0.798, 0.000]],
  "formation_energy_uncorrected_ev_per_atom": -1.69,
  "relative_energy_mev_per_atom": 4,
  "magmom_total_mub_per_fu": 1.12,
  "volume_a3_per_atom": 14.41
}

***

8.
{
  "formula": "TaV",
  "functional": "PBE",
  "state": "relaxed",
  "lattice_angstrom": [[9.297, 0.000, 0.000], [-4.649, 8.052, 0.000], [0.000, 0.000, 2.763]],
  "species": ["Ta", "Ta", "Ta", "Ta", "Ta", "Ta", "V", "V", "V", "V", "V", "V"],
  "frac_coords": [[0.139, 0.627, 0.250], [0.373, 0.513, 0.250], [0.487, 0.861, 0.250], [0.513, 0.139, 0.750], [0.627, 0.487, 0.750], [0.861, 0.373, 0.750], [0.060, 0.257, 0.250], [0.197, 0.940, 0.250], [0.257, 0.197, 0.750], [0.743, 0.803, 0.250], [0.803, 0.060, 0.750], [0.940, 0.743, 0.750]],
  "relative_energy_mev_per_atom": 531,
  "e_form_ev_per_atom": 0.56,
  "magmom_total_mub_per_fu": 0.00,
  "volume_a3_per_atom": 17.24
}

***

no.,mass density (g/cm3)
1,5.58
2,2.96
3,7.57
4,5.30
5,4.75
6,6.23
7,4.46
8,11.17